! Th2ZrCrN5 (PBE, relaxed); values from VASP
! electronic total energy: -163.45 eV per cell
! spin magnetization: 0.107 μB/atom
! formation energy without anion corrections: -0.7874 eV/atom
! crystal system: tetragonal
&SYSTEM
  ibrav = 0, nat = 18, ntyp = 4
/
ATOMIC_SPECIES
Th 232.04 Th.upf
Zr 91.22 Zr.upf
Cr 52.00 Cr.upf
N 14.01 N.upf
ATOMIC_POSITIONS angstrom
Th 1.113 2.205 0.000
Th 2.205 5.523 0.000
Th 4.431 1.113 0.000
Th 5.523 4.431 0.000
Zr 0.000 0.000 2.849
Zr 3.318 3.318 2.849
Cr 0.000 3.318 2.849
Cr 3.318 0.000 2.849
N 0.000 0.000 0.000
N 0.976 4.294 1.580
N 0.976 4.294 4.117
N 2.343 0.976 1.580
N 2.343 0.976 4.117
N 3.318 3.318 0.000
N 4.294 5.661 1.580
N 4.294 5.661 4.117
N 5.661 2.343 1.580
N 5.661 2.343 4.117
CELL_PARAMETERS angstrom
6.636 0.000 0.000
0.000 6.636 0.000
0.000 0.000 5.697